Material: TaPt3O
Method: DFT, PBE
State: optimized geometry

The structure in extended XYZ format:
```
5
Lattice="4.8641 0.0000 0.0000 0.0000 4.8641 0.0000 0.0000 0.0000 4.8641" Properties=species:S:1:pos:R:3 pbc="T T T"
Ta 0.0000 0.0000 0.0000
Pt 0.0000 0.0000 2.4321
Pt 0.0000 2.4321 0.0000
Pt 2.4321 0.0000 0.0000
O 2.4321 2.4321 2.4321
```

## Properties
The uncorrected energy comes out at -5.424 eV/atom. As for the density of states at the Fermi level: 2.051 states/eV per atom. For the uncorrected formation energy, the calculation gives 1.562 eV per atom. As for the symmetry: No. 221. The calculation puts the theoretical density at 11.3 g/cm³.

=====

Material: TaPt3O
Method: DFT, PBE
State: optimized geometry

The structure in extended XYZ format:
```
5
Lattice="4.2681 0.0000 0.0000 0.0000 4.2681 0.0000 0.0000 0.0000 4.2681" Properties=species:S:1:pos:R:3 pbc="T T T"
Ta 0.0000 0.0000 0.0000
Pt 0.0000 2.1341 2.1341
Pt 2.1341 0.0000 2.1341
Pt 2.1341 2.1341 0.0000
O 2.1341 2.1341 2.1341
```

## Properties
The uncorrected energy comes out at -6.591 eV/atom. As for the density of states at the Fermi level: 1.515 states/eV per atom. For the uncorrected formation energy, the calculation gives 0.395 eV per atom. As for the symmetry: No. 221. The calculation puts the theoretical density at 16.7 g/cm³.

=====

Material: TaPtO
Method: DFT, PBE
State: optimized geometry

The structure in extended XYZ format:
```
6
Lattice="6.6234 0.0000 0.0000 0.0000 1.6049 4.8183 0.0000 -1.6049 4.8183" Properties=species:S:1:pos:R:3 pbc="T T T"
Ta 1.4484 0.0000 0.0000
Ta 5.1750 0.0000 0.0000
Pt 0.0000 0.0000 2.1591
Pt 3.3117 0.0000 1.7288
O 1.9581 0.0000 3.9001
O 4.6653 0.0000 3.9001
```

## Properties
The uncorrected energy comes out at -8.561 eV/atom. As for the density of states at the Fermi level: 0.394 states/eV per atom. For the uncorrected formation energy, the calculation gives -0.944 eV per atom. As for the symmetry: No. 38. The calculation puts the theoretical density at 12.7 g/cm³.

=====

Material: Ta2PtO
Method: DFT, PBE
State: optimized geometry

The structure in extended XYZ format:
```
8
Lattice="-2.4542 2.4542 5.9215 2.4542 -2.4542 5.9215 2.4542 2.4542 -5.9215" Properties=species:S:1:pos:R:3 pbc="T T T"
Ta 3.6813 0.7612 -1.4804
Ta 0.7612 1.2271 1.4804
Ta -1.2271 1.6930 4.4411
Ta 1.6930 1.2271 7.4019
Pt 2.4542 0.0000 2.9608
Pt 0.0000 0.0000 5.9215
O 0.0000 0.0000 0.0000
O 0.0000 2.4542 2.9608
```

## Properties
The uncorrected energy comes out at -9.384 eV/atom. As for the density of states at the Fermi level: 0.296 states/eV per atom. For the uncorrected formation energy, the calculation gives -0.708 eV per atom. As for the symmetry: No. 122. The calculation puts the theoretical density at 13.3 g/cm³.

=====

Material: TaTi2PtO
Method: DFT, PBE
State: optimized geometry

The structure in extended XYZ format:
```
5
Lattice="4.0959 0.0000 0.0000 0.0000 4.0959 0.0000 0.0000 0.0000 4.2211" Properties=species:S:1:pos:R:3 pbc="T T T"
Ta 0.0000 0.0000 0.0000
Ti 0.0000 2.0480 2.1105
Ti 2.0480 0.0000 2.1105
Pt 2.0480 2.0480 0.0000
O 0.0000 0.0000 2.1105
```

## Properties
The uncorrected energy comes out at -8.976 eV/atom. As for the density of states at the Fermi level: 1.239 states/eV per atom. For the uncorrected formation energy, the calculation gives -1.248 eV per atom. As for the symmetry: No. 123. The calculation puts the theoretical density at 11.4 g/cm³.

=====

Material: TaTlPtO6
Method: DFT, PBE
State: optimized geometry

The structure in extended XYZ format:
```
18
Lattice="4.8430 0.0000 0.0000 0.0000 4.8430 0.0000 0.0000 0.0000 9.7673" Properties=species:S:1:pos:R:3 pbc="T T T"
Ta 0.0000 0.0000 0.0000
Ta 2.4215 2.4215 4.8836
Tl 0.0000 0.0000 3.2041
Tl 2.4215 2.4215 8.0877
Pt 0.0000 0.0000 6.4496
Pt 2.4215 2.4215 1.5659
O 0.8439 0.8439 8.1164
O 0.9824 0.9824 4.9650
O 1.0002 1.0002 1.3785
O 1.4213 3.4217 6.2622
O 1.4391 3.4039 0.0813
O 1.5776 3.2654 3.2327
O 3.2654 1.5776 3.2327
O 3.4039 1.4391 0.0813
O 3.4217 1.4213 6.2622
O 3.8429 3.8429 1.3785
O 3.8606 3.8606 4.9650
O 3.9991 3.9991 8.1164
```

## Properties
The uncorrected energy comes out at -6.935 eV/atom. For the uncorrected formation energy, the calculation gives -1.379 eV per atom. As for the symmetry: No. 102. The calculation puts the theoretical density at 9.8 g/cm³.

=====

Material: TaZnPt2O
Method: DFT, PBE
State: optimized geometry

The structure in extended XYZ format:
```
5
Lattice="4.4714 0.0000 0.0000 0.0000 4.4714 0.0000 0.0000 0.0000 3.9246" Properties=species:S:1:pos:R:3 pbc="T T T"
Ta 0.0000 0.0000 0.0000
Zn 2.2357 2.2357 0.0000
Pt 0.0000 2.2357 1.9623
Pt 2.2357 0.0000 1.9623
O 0.0000 0.0000 1.9623
```

## Properties
The uncorrected energy comes out at -6.134 eV/atom. As for the density of states at the Fermi level: 0.660 states/eV per atom. For the uncorrected formation energy, the calculation gives -0.101 eV per atom. As for the symmetry: No. 123. The calculation puts the theoretical density at 13.8 g/cm³.

=====

Material: TaZnPtO6
Method: DFT, PBE
State: optimized geometry

The structure in extended XYZ format:
```
18
Lattice="4.7280 0.0000 0.0000 0.0000 4.7280 0.0000 0.0000 0.0000 9.3701" Properties=species:S:1:pos:R:3 pbc="T T T"
Ta 0.0000 0.0000 0.0000
Ta 2.3640 2.3640 4.6851
Zn 0.0000 0.0000 3.0954
Zn 2.3640 2.3640 7.7804
Pt 0.0000 0.0000 6.2090
Pt 2.3640 2.3640 1.5239
O 0.8863 0.8863 7.7905
O 0.9396 0.9396 4.7124
O 0.9687 0.9687 1.4320
O 1.3953 3.3327 6.1170
O 1.4244 3.3036 0.0273
O 1.4776 3.2503 3.1054
O 3.2503 1.4776 3.1054
O 3.3036 1.4244 0.0273
O 3.3327 1.3953 6.1170
O 3.7593 3.7593 1.4320
O 3.7884 3.7884 4.7124
O 3.8416 3.8416 7.7905
```

## Properties
The uncorrected energy comes out at -6.939 eV/atom. As for the density of states at the Fermi level: 0.659 states/eV per atom. For the uncorrected formation energy, the calculation gives -1.503 eV per atom. As for the symmetry: No. 102. The calculation puts the theoretical density at 8.5 g/cm³.

=====

Material: Tb2PtO
Method: DFT, PBE
State: optimized geometry

The structure in extended XYZ format:
```
16
Lattice="5.8483 0.0000 0.0000 0.0000 5.8008 0.0000 -4.8150 0.0000 9.9483" Properties=species:S:1:pos:R:3 pbc="T T T"
Tb -0.1688 1.3816 0.9505
Tb -2.5763 4.4192 5.9247
Tb -2.2356 1.1910 8.4931
Tb 0.1719 4.6098 3.5190
Tb 0.8614 1.1910 6.4293
Tb 3.2689 4.6098 1.4552
Tb 3.6096 1.3816 4.0236
Tb 1.2021 4.4192 8.9978
Pt 0.6764 1.7505 3.6156
Pt -1.7310 4.0502 8.5898
Pt 2.7643 1.7505 1.3585
Pt 0.3568 4.0502 6.3327
O -2.7764 0.8425 6.2018
O -0.3689 4.9582 1.2277
O 1.4022 0.8425 8.7206
O 3.8097 4.9582 3.7465
```

## Properties
The uncorrected energy comes out at -7.010 eV/atom. As for the density of states at the Fermi level: 0.583 states/eV per atom. For the uncorrected formation energy, the calculation gives -1.945 eV per atom. As for the symmetry: No. 13. The calculation puts the theoretical density at 10.4 g/cm³.

=====

Material: Tb4Pt2O
Method: DFT, PBE
State: optimized geometry

The structure in extended XYZ format:
```
7
Lattice="-2.3156 2.3156 7.2922 2.3156 -2.3156 7.2922 2.3156 2.3156 -7.2922" Properties=species:S:1:pos:R:3 pbc="T T T"
Tb 2.3156 0.0000 0.0000
Tb 0.0000 0.0000 2.6733
Tb 0.0000 2.3156 0.0000
Tb 0.0000 0.0000 11.9111
Pt 0.0000 0.0000 5.4159
Pt 0.0000 0.0000 9.1684
O 0.0000 0.0000 0.0000
```

## Properties
The uncorrected energy comes out at -6.609 eV/atom. As for the density of states at the Fermi level: 0.964 states/eV per atom. For the uncorrected formation energy, the calculation gives -1.529 eV per atom. As for the symmetry: No. 139. The calculation puts the theoretical density at 11.1 g/cm³.

=====

Material: Tb3PtO
Method: DFT, PBE
State: optimized geometry

The structure in extended XYZ format:
```
5
Lattice="4.6906 0.0000 0.0000 0.0000 4.6906 0.0000 0.0000 0.0000 4.6906" Properties=species:S:1:pos:R:3 pbc="T T T"
Tb 0.0000 0.0000 2.3453
Tb 0.0000 2.3453 0.0000
Tb 2.3453 0.0000 0.0000
Pt 2.3453 2.3453 2.3453
O 0.0000 0.0000 0.0000
```

## Properties
The uncorrected energy comes out at -6.514 eV/atom. As for the density of states at the Fermi level: 0.767 states/eV per atom. For the uncorrected formation energy, the calculation gives -1.536 eV per atom. As for the symmetry: No. 221. The calculation puts the theoretical density at 11.1 g/cm³.

=====

Material: Tb4Pt6O19
Method: DFT, PBE
State: optimized geometry

The structure in extended XYZ format:
```
29
Lattice="-4.5330 4.5330 4.5330 4.5330 -4.5330 4.5330 4.5330 4.5330 -4.5330" Properties=species:S:1:pos:R:3 pbc="T T T"
Tb 1.3467 1.3467 -1.3467
Tb 1.3467 -1.3467 1.3467
Tb -1.3467 1.3467 1.3467
Tb 3.1864 3.1864 3.1864
Pt 4.5330 1.4408 0.0000
Pt 4.5330 0.0000 3.0923
Pt 3.0923 4.5330 0.0000
Pt 1.4408 0.0000 4.5330
Pt 0.0000 4.5330 1.4408
Pt 0.0000 3.0923 4.5330
O 0.0000 0.0000 0.0000
O 3.0207 0.0000 0.0000
O 6.0453 0.0000 0.0000
O 4.5912 -1.6281 1.9722
O 2.9050 2.5608 -0.0582
O 6.1611 2.5608 0.0582
O 2.5608 -0.0582 2.9050
O 1.9722 4.5912 -1.6281
O 0.0000 3.0207 0.0000
O 0.0000 0.0000 3.0207
O 4.4749 1.6281 1.9722
O -0.0582 2.9050 2.5608
O 0.0000 6.0453 0.0000
O 0.0000 0.0000 6.0453
O 1.9722 4.4749 1.6281
O 2.5608 0.0582 6.1611
O 1.6281 1.9722 4.4749
O -1.6281 1.9722 4.5912
O 0.0582 6.1611 2.5608
```

## Properties
The uncorrected energy comes out at -6.629 eV/atom. As for the density of states at the Fermi level: 0.584 states/eV per atom. For the uncorrected formation energy, the calculation gives -1.492 eV per atom. As for the symmetry: No. 197. The calculation puts the theoretical density at 9.4 g/cm³.